An optimized crystal structure of PrNd6Ho2Tm. Source: the Alexandria database, functional PBE.

Structure (CIF):
```
data_PrNd6Ho2Tm
_chemical_formula_sum 'Pr2 Nd12 Ho4 Tm2'
_symmetry_space_group_name_H-M 'P 1'
_symmetry_Int_Tables_number 1
_symmetry_space_group_name_Hall 'P 1'
_cell_length_a 9.6634
_cell_length_b 8.9652
_cell_length_c 8.9652
_cell_angle_alpha 117.20
_cell_angle_beta 93.52
_cell_angle_gamma 93.52
loop_
_atom_site_label
_atom_site_type_symbol
_atom_site_fract_x
_atom_site_fract_y
_atom_site_fract_z
_atom_site_occupancy
Pr1 Pr 0.2500 0.9718 0.0282 1
Pr2 Pr 0.7500 0.0282 0.9718 1
Nd1 Nd 0.0550 0.1170 0.7594 1
Nd2 Nd 0.4450 0.2406 0.8830 1
Nd3 Nd 0.9450 0.8830 0.2406 1
Nd4 Nd 0.5550 0.7594 0.1170 1
Nd5 Nd 0.3133 0.9934 0.4389 1
Nd6 Nd 0.1867 0.5611 0.0066 1
Nd7 Nd 0.6867 0.0066 0.5611 1
Nd8 Nd 0.8133 0.4389 0.9934 1
Nd9 Nd 0.1170 0.7066 0.4866 1
Nd10 Nd 0.3830 0.5134 0.2934 1
Nd11 Nd 0.8830 0.2934 0.5134 1
Nd12 Nd 0.6170 0.4866 0.7066 1
Ho1 Ho 0.4517 0.7966 0.6981 1
Ho2 Ho 0.0483 0.3019 0.2034 1
Ho3 Ho 0.5483 0.2034 0.3019 1
Ho4 Ho 0.9517 0.6981 0.7966 1
Tm1 Tm 0.2500 0.4120 0.5880 1
Tm2 Tm 0.7500 0.5880 0.4120 1
```

Output
DOS at the Fermi energy   28.56 states/eV/cell
ΔE_f   0.114 eV per atom
Total magnetic moment   0.0 μB per formula unit